# 1
Computed, not measured: a geometry-optimized Rb2CaRe structure at the PBE-GGA level of DFT.

Results
Calculated total energy   -2.54 eV per atom
Offset from the most stable computed form   0.000 eV/f.u.
Symmetry   I-42d, No. 122

abc: 4.774 4.774 13.855
angles: 80.08 80.08 90.00
Site moments in Bohr magnetons follow the coordinates.
Atoms (fractional coordinates):
Rb1 0.637 0.125 0.250  -0.02
Re1 0.000 0.000 0.000  2.72
Rb2 0.375 0.363 0.750  -0.01
Re2 0.750 0.250 0.500  2.72
Rb3 0.113 0.625 0.250  -0.02
Rb4 0.875 0.887 0.750  -0.01
Ca1 0.500 0.500 0.000  -0.02
Ca2 0.250 0.750 0.500  -0.02


# 2
Computed, not measured: a geometry-optimized RbCa2Re2 structure at the PBE-GGA level of DFT.

Results
Calculated total energy   -4.78 eV per atom
Offset from the most stable computed form   1.552 eV/f.u.
Symmetry   I4/mmm, No. 139

abc: 5.781 5.781 6.232
angles: 62.37 62.37 90.00
Site moments in Bohr magnetons follow the coordinates.
Atoms (fractional coordinates):
Ca1 0.250 0.750 0.500  0.03
Re1 0.618 0.618 0.765  0.62
Ca2 0.750 0.250 0.500  0.03
Rb1 0.000 0.000 0.000  0.00
Re2 0.382 0.382 0.235  0.62


# 3
Computed, not measured: a geometry-optimized RbCaRe2 structure at the PBE-GGA level of DFT.

Results
Calculated total energy   -4.88 eV per atom
Offset from the most stable computed form   0.000 eV/f.u.
Symmetry   I-42d, No. 122

abc: 8.783 8.783 6.741
angles: 49.35 49.35 90.00
Site moments in Bohr magnetons follow the coordinates.
Atoms (fractional coordinates):
Rb1 0.000 0.000 0.000  0.01
Rb2 0.750 0.250 0.500  0.01
Re1 0.139 0.625 0.250  1.24
Ca1 0.250 0.750 0.500  0.02
Re2 0.375 0.389 0.750  1.24
Re3 0.611 0.125 0.250  1.24
Ca2 0.500 0.500 0.000  0.02
Re4 0.875 0.861 0.750  1.24


# 4
Computed, not measured: a geometry-optimized RbCa2Re structure at the PBE-GGA level of DFT.

Results
Calculated total energy   -3.01 eV per atom
Offset from the most stable computed form   0.917 eV/f.u.
Symmetry   Fd-3m, No. 227

abc: 8.271 8.271 8.275
angles: 60.02 60.02 90.00
Atoms (fractional coordinates):
Ca1 0.375 0.125 0.750
Ca2 0.875 0.125 0.250
Rb1 0.250 0.750 0.500
Ca3 0.875 0.625 0.250
Rb2 0.500 0.500 0.000
Re1 0.750 0.250 0.500
Re2 0.000 0.000 0.000
Ca4 0.875 0.125 0.750


# 5
Computed, not measured: a geometry-optimized RbCaScRe2 structure at the PBE-GGA level of DFT.

Results
Calculated total energy   -4.34 eV per atom
Symmetry   P4/mmm, No. 123

abc: 5.138 5.413 5.138
angles: 90.00 90.00 90.00
Site moments in Bohr magnetons follow the coordinates.
Atoms (fractional coordinates):
Ca1 0.000 0.000 0.000  -0.02
Rb1 0.500 0.500 0.500  0.00
Re1 0.000 0.000 0.500  1.59
Re2 0.500 0.000 0.000  1.93
Sc1 0.000 0.500 0.000  -0.60


# 6
Computed, not measured: a geometry-optimized RbCaRe2Se structure at the PBE-GGA level of DFT.

Results
Calculated total energy   -3.35 eV per atom
Energy relative to the elements, uncorrected   2.916 eV/atom
Symmetry   P4/mmm, No. 123

abc: 4.779 5.387 4.779
angles: 90.00 90.00 90.00
Atoms (fractional coordinates):
Ca1 0.000 0.500 0.000
Se1 0.500 0.500 0.500
Rb1 0.000 0.000 0.000
Re1 0.000 0.000 0.500
Re2 0.500 0.000 0.000


# 7
Computed, not measured: a geometry-optimized RbCa3Rh structure at the PBE-GGA level of DFT.

Results
Calculated total energy   -2.74 eV per atom
Offset from the most stable computed form   1.536 eV/f.u.
Symmetry   P6_3/mmc, No. 194

abc: 4.696 4.696 25.330
angles: 90.00 90.00 120.00
Atoms (fractional coordinates):
Rb1 0.000 0.000 0.500
Rb2 0.000 0.000 0.000
Ca1 0.333 0.667 0.644
Rh1 0.333 0.667 0.750
Ca2 0.000 0.000 0.750
Ca3 0.667 0.333 0.144
Ca4 0.333 0.667 0.856
Ca5 0.000 0.000 0.250
Ca6 0.667 0.333 0.356
Rh2 0.667 0.333 0.250


# 8
Computed, not measured: a geometry-optimized RbCa3Rh structure at the PBE-GGA level of DFT.

Results
Calculated total energy   -2.99 eV per atom
Offset from the most stable computed form   0.303 eV/f.u.
Symmetry   C2/m, No. 12

abc: 25.587 12.765 12.765
angles: 161.89 158.83 21.17
Atoms (fractional coordinates):
Ca1 0.322 0.705 0.295
Rh1 0.398 0.054 0.946
Rb1 0.219 0.990 0.010
Rb2 0.781 0.010 0.990
Ca2 0.678 0.295 0.705
Ca3 0.641 0.487 0.513
Ca4 0.940 0.630 0.370
Ca5 0.359 0.513 0.487
Rh2 0.602 0.946 0.054
Ca6 0.060 0.370 0.630